VASP calculation (PBE with a Hubbard U) on a relaxed Li3Mn2VO6 crystal.

Total energy = -6.716 eV per atom
Fermi-level density of states = 0.3 states/eV/f.u.

Cell: 14.034 2.901 5.851 Å, 90.00 101.64 90.00°
Space group C2/m (No. 12)
Asymmetric unit:
1 Li 0.000 0.000 0.000
2 Li 0.154 0.500 0.321
3 Mn 0.164 0.500 0.836
4 V 0.000 0.000 0.500
5 O 0.002 0.500 0.261
6 O 0.153 0.000 0.601
7 O 0.169 0.000 0.068